Record 1
A plane-wave DFT calculation with PBE was carried out for Hf2Be2Pt after structural relaxation.

Values from the calculation:
SG   P4/mbm, No. 127
Magnetic moment   0.0002 μB per atom
Total energy   -73.39 eV per cell

Unit cell a=6.3551 b=6.3551 c=3.6409 alpha=90.00 beta=90.00 gamma=90.00
Last column: nearest neighbours and their distance in Å.
Atoms (fractional coordinates):
Be 0.3776 0.8776 0.0000  1 Be 2.20
Hf 0.6732 0.8268 0.5000  6 Be 2.59-2.64
Be 0.1224 0.3776 0.0000  1 Be 2.20
Pt 0.5000 0.5000 0.0000  4 Be 2.52
Hf 0.3268 0.1732 0.5000  6 Be 2.59-2.64
Be 0.8776 0.6224 0.0000  1 Be 2.20
Hf 0.8268 0.3268 0.5000  6 Be 2.59-2.64
Hf 0.1732 0.6732 0.5000  6 Be 2.59-2.64
Pt 0.0000 0.0000 0.0000  4 Be 2.52
Be 0.6224 0.1224 0.0000  1 Be 2.20

***

Record 2
A plane-wave DFT calculation with PBE was carried out for HfBePt2 after structural relaxation.

Values from the calculation:
SG   F-43m, No. 216
Magnetic moment   0.0014 μB per atom
Total energy   -27.79 eV per cell

Unit cell a=4.4490 b=4.4490 c=4.4490 alpha=60.00 beta=60.00 gamma=60.00
Last column: nearest neighbours and their distance in Å.
Atoms (fractional coordinates):
Pt 0.0000 0.0000 0.0000  4 Hf 2.72, 4 Pt 2.72
Pt 0.7500 0.7500 0.7500  4 Pt 2.72, 4 Be 2.72
Be 0.5000 0.5000 0.5000  4 Hf 2.72, 4 Pt 2.72
Hf 0.2500 0.2500 0.2500  4 Be 2.72, 4 Pt 2.72

***

Record 3
A plane-wave DFT calculation with PBE was carried out for HfBe2Pt2 after structural relaxation.

Values from the calculation:
SG   I4/mmm, No. 139
Magnetic moment   0.0002 μB per atom
Total energy   -33.01 eV per cell

Unit cell a=6.2708 b=6.2708 c=6.2708 alpha=147.23 beta=147.23 gamma=47.03
Last column: nearest neighbours and their distance in Å.
Atoms (fractional coordinates):
Be 0.7500 0.2500 0.5000  4 Pt 2.33, 4 Be 2.50
Pt 0.6180 0.6180 0.0000  4 Be 2.33
Pt 0.3820 0.3820 0.0000  4 Be 2.33
Hf 0.0000 0.0000 0.0000  8 Pt 2.85
Be 0.2500 0.7500 0.5000  4 Pt 2.33, 4 Be 2.50